Record 1
! HfTl2BrCl5 GGA-PBE relaxed; values from VASP
&SYSTEM
  ibrav = 0, nat = 9, ntyp = 4
/
ATOMIC_SPECIES
Hf 178.49 Hf.upf
Br 79.90 Br.upf
Cl 35.45 Cl.upf
Tl 204.38 Tl.upf
ATOMIC_POSITIONS crystal
Hf 0.0000 0.0125 0.0125
Br 0.0000 0.7667 0.7667
Cl 0.5215 0.7731 0.7731
Cl 0.0000 0.7731 0.2515
Cl 0.4785 0.2515 0.2515
Tl 0.5000 0.2157 0.7157
Cl 0.0000 0.2515 0.7731
Cl 0.0000 0.2402 0.2402
Tl 0.5000 0.7157 0.2157
CELL_PARAMETERS angstrom
7.4331 -0.2110 -0.3062
-3.7151 6.4416 0.3062
-3.7151 -2.0077 6.1284
! - DOS(E_F) (states/eV/f.u.) = 0.00
! - uncorrected formation energy (eV/atom) = -1.48
! - SG = I4mm (107)
! - electronic total energy (eV per atom) = -4.3201

=====

Record 2
! SrMg2SF GGA-PBE relaxed; values from VASP
&SYSTEM
  ibrav = 0, nat = 5, ntyp = 4
/
ATOMIC_SPECIES
Sr 87.62 Sr.upf
Mg 24.30 Mg.upf
F 19.00 F.upf
S 32.06 S.upf
ATOMIC_POSITIONS crystal
Sr 0.0000 0.0000 0.0000
Mg 0.5000 0.0000 0.0000
F 0.0000 0.5000 0.0000
Mg 0.0000 0.0000 0.5000
S 0.5000 0.5000 0.5000
CELL_PARAMETERS angstrom
-2.3415 5.1224 -3.0346
1.7099 -1.4795 -3.8168
-5.4192 -3.1842 -1.1935
! - DOS(E_F) (states/eV/f.u.) = 5.03
! - uncorrected formation energy (eV/atom) = -0.37
! - SG = P4/mmm (123)
! - electronic total energy (eV per atom) = -2.5402

=====

Record 3
! EuDyErCd GGA-PBE relaxed; values from VASP
&SYSTEM
  ibrav = 0, nat = 4, ntyp = 4
/
ATOMIC_SPECIES
Cd 112.41 Cd.upf
Eu 151.96 Eu.upf
Er 167.26 Er.upf
Dy 162.50 Dy.upf
ATOMIC_POSITIONS crystal
Cd 0.7500 0.7500 0.7500
Eu 0.2500 0.2500 0.2500
Er 0.0000 0.0000 0.0000
Dy 0.5000 0.5000 0.5000
CELL_PARAMETERS angstrom
-4.4482 -0.5718 3.1677
-4.6125 -2.1129 -2.0997
-1.6648 -5.0075 1.5170
! - DOS(E_F) (states/eV/f.u.) = 4.30
! - ΔH_f (0 K) (meV per atom) = 10
! - SG = F-43m (216)
! - electronic total energy (eV per atom) = -5.0787

=====

Question: Among the records above, which one has the lowest electronic total energy?
Answer: EuDyErCd

=====

Question: What is the electronic total energy in the first record?
Answer: -4.3201 eV per atom

=====

What did the first record say?
! HfTl2BrCl5 GGA-PBE relaxed; values from VASP
&SYSTEM
  ibrav = 0, nat = 9, ntyp = 4
/
ATOMIC_SPECIES
Hf 178.49 Hf.upf
Br 79.90 Br.upf
Cl 35.45 Cl.upf
Tl 204.38 Tl.upf
ATOMIC_POSITIONS crystal
Hf 0.0000 0.0125 0.0125
Br 0.0000 0.7667 0.7667
Cl 0.5215 0.7731 0.7731
Cl 0.0000 0.7731 0.2515
Cl 0.4785 0.2515 0.2515
Tl 0.5000 0.2157 0.7157
Cl 0.0000 0.2515 0.7731
Cl 0.0000 0.2402 0.2402
Tl 0.5000 0.7157 0.2157
CELL_PARAMETERS angstrom
7.4331 -0.2110 -0.3062
-3.7151 6.4416 0.3062
-3.7151 -2.0077 6.1284
! - DOS(E_F) (states/eV/f.u.) = 0.00
! - uncorrected formation energy (eV/atom) = -1.48
! - SG = I4mm (107)
! - electronic total energy (eV per atom) = -4.3201